SrTlCd | PBE | relaxed

a = 4.271 Å, b = 4.271 Å, c = 6.590 Å
α = 90.00°, β = 90.00°, γ = 120.00°
Positions (direct):
Cd (0.000, 0.000, 0.973)
Sr (0.667, 0.333, 0.327)
Tl (0.333, 0.667, 0.700)

## Properties
- raw total energy (eV per atom) = -1.801
- SG = P3m1 (156)


KRhO2 | PBE | relaxed

a = 4.098 Å, b = 4.098 Å, c = 4.098 Å
α = 60.00°, β = 60.00°, γ = 60.00°
Positions (direct):
K (0.000, 0.000, 0.000)
Rh (0.500, 0.500, 0.500)
O (0.250, 0.250, 0.250)
O (0.750, 0.750, 0.750)

## Properties
- formation energy from raw total energies (eV/atom) = 0.02
- SG = Fm-3m (225)